Entry 1:
# NaLiSn2F6 GGA-PBE optimized geometry
# DOS(E_F)	0.00	states/eV/atom
# total magnetic moment	0.0	μB/f.u.
# calculated total energy	-4.74	eV/atom
# volume	16.04	Å³ per atom
# energy relative to the elements, uncorrected	-2498	meV per atom
data_NaLiSn2F6
_chemical_formula_sum 'Na3 Li3 Sn6 F18'
_space_group_name_H-M_alt 'R 3'
_space_group_IT_number 146
_space_group_name_Hall 'R 3'
_cell_length_a 6.0493
_cell_length_b 6.0493
_cell_length_c 15.1806
_cell_angle_alpha 90.00
_cell_angle_beta 90.00
_cell_angle_gamma 120.00
loop_
_atom_site_label
_atom_site_fract_x
_atom_site_fract_y
_atom_site_fract_z
Na1 0.0000 0.0000 0.0000
Li1 0.0000 0.0000 0.5014
Sn1 0.0000 0.0000 0.2096
Sn2 0.0000 0.0000 0.7065
F1 0.0233 0.4663 0.7826
F2 0.0461 0.5854 0.2755

---

Entry 2:
# NaSr2LiF GGA-PBE optimized geometry
# DOS(E_F)	0.47	states/eV/atom
# total magnetic moment	0.0	μB/f.u.
# calculated total energy	-2.66	eV/atom
# volume	31.55	Å³ per atom
# energy relative to the elements, uncorrected	-965	meV per atom
data_NaSr2LiF
_chemical_formula_sum 'Na1 Sr2 Li1 F1'
_space_group_name_H-M_alt 'P 4/m m m'
_space_group_IT_number 123
_space_group_name_Hall '-P 4 2'
_cell_length_a 5.375
_cell_length_b 5.375
_cell_length_c 5.459
_cell_angle_alpha 90.00
_cell_angle_beta 90.00
_cell_angle_gamma 90.00
loop_
_atom_site_label
_atom_site_fract_x
_atom_site_fract_y
_atom_site_fract_z
Na1 0.000 0.000 0.000
Sr1 0.000 0.500 0.500
Li1 0.500 0.500 0.000
F1 0.500 0.500 0.500

---

Entry 3:
# NaSr2LiF GGA-PBE optimized geometry
# DOS(E_F)	0.52	states/eV/atom
# total magnetic moment	0.0	μB/f.u.
# calculated total energy	-2.71	eV/atom
# volume	30.63	Å³ per atom
# energy relative to the elements, uncorrected	-1015	meV per atom
data_NaSr2LiF
_chemical_formula_sum 'Na1 Sr2 Li1 F1'
_space_group_name_H-M_alt 'P 4/m m m'
_space_group_IT_number 123
_space_group_name_Hall '-P 4 2'
_cell_length_a 5.413
_cell_length_b 5.413
_cell_length_c 5.228
_cell_angle_alpha 90.00
_cell_angle_beta 90.00
_cell_angle_gamma 90.00
loop_
_atom_site_label
_atom_site_fract_x
_atom_site_fract_y
_atom_site_fract_z
Na1 0.000 0.000 0.000
Sr1 0.000 0.500 0.500
Li1 0.500 0.500 0.000
F1 0.000 0.000 0.500

---

Entry 4:
# NaLiTaF6 GGA-PBE optimized geometry
# DOS(E_F)	0.02	states/eV/atom
# total magnetic moment	1.0	μB/f.u.
# calculated total energy	-5.89	eV/atom
# volume	13.69	Å³ per atom
# energy relative to the elements, uncorrected	-2970	meV per atom
data_NaLiTaF6
_chemical_formula_sum 'Na2 Li2 Ta2 F12'
_space_group_name_H-M_alt 'P -3 1 c'
_space_group_IT_number 163
_space_group_name_Hall '-P 3 2c'
_cell_length_a 5.4798
_cell_length_b 5.4798
_cell_length_c 9.4740
_cell_angle_alpha 90.00
_cell_angle_beta 90.00
_cell_angle_gamma 120.00
loop_
_atom_site_label
_atom_site_fract_x
_atom_site_fract_y
_atom_site_fract_z
Na1 0.0000 0.0000 0.0000
Li1 0.3333 0.6667 0.2500
Ta1 0.3333 0.6667 0.7500
F1 0.0082 0.3575 0.6446

---

Entry 5:
# NaLi2TcF8 GGA-PBE optimized geometry
# DOS(E_F)	0.76	states/eV/atom
# total magnetic moment	2.0	μB/f.u.
# calculated total energy	-4.97	eV/atom
# volume	13.29	Å³ per atom
# energy relative to the elements, uncorrected	-2428	meV per atom
data_NaLi2TcF8
_chemical_formula_sum 'Na1 Li2 Tc1 F8'
_space_group_name_H-M_alt 'P 1 2/m 1'
_space_group_IT_number 10
_cell_length_a 4.800
_cell_length_b 6.939
_cell_length_c 4.804
_cell_angle_alpha 90.00
_cell_angle_beta 94.95
_cell_angle_gamma 90.00
loop_
_space_group_symop_operation_xyz
'x,y,z'
'-x,-y,-z'
'-x,y,-z'
'x,-y,z'
loop_
_atom_site_label
_atom_site_fract_x
_atom_site_fract_y
_atom_site_fract_z
Na1 0.000 0.000 0.000
Li1 0.500 0.183 0.500
Tc1 0.000 0.500 0.000
F1 0.206 0.300 0.205
F2 0.265 0.500 0.733
F3 0.309 0.000 0.690

---

Entry 6:
# Na2LiThF8 GGA-PBE optimized geometry
# total magnetic moment	1.1	μB/f.u.
# calculated total energy	-5.36	eV/atom
# volume	14.17	Å³ per atom
# energy relative to the elements, uncorrected	-3116	meV per atom
data_Na2LiThF8
_chemical_formula_sum 'Na2 Li1 Th1 F8'
_space_group_name_H-M_alt 'P -1'
_space_group_IT_number 2
_cell_length_a 4.084
_cell_length_b 5.644
_cell_length_c 7.558
_cell_angle_alpha 77.50
_cell_angle_beta 89.95
_cell_angle_gamma 89.78
loop_
_space_group_symop_operation_xyz
'x,y,z'
'-x,-y,-z'
loop_
_atom_site_label
_atom_site_fract_x
_atom_site_fract_y
_atom_site_fract_z
Na1 0.001 0.433 0.256
Li1 0.500 0.000 0.500
Th1 0.500 0.000 0.000
F1 0.001 0.774 0.991
F2 0.018 0.158 0.537
F3 0.500 0.171 0.249
F4 0.500 0.330 0.771

---

Entry 7:
# Na3Li4ThF12 GGA-PBE optimized geometry
# DOS(E_F)	0.79	states/eV/atom
# total magnetic moment	1.1	μB/f.u.
# calculated total energy	-4.95	eV/atom
# volume	15.54	Å³ per atom
# energy relative to the elements, uncorrected	-2880	meV per atom
data_Na3Li4ThF12
_chemical_formula_sum 'Na9 Li12 Th3 F36'
_space_group_name_H-M_alt 'R 3 2'
_space_group_IT_number 155
_space_group_name_Hall 'R 3 2"'
_cell_length_a 11.2612
_cell_length_b 11.2612
_cell_length_c 8.4910
_cell_angle_alpha 90.00
_cell_angle_beta 90.00
_cell_angle_gamma 120.00
loop_
_atom_site_label
_atom_site_fract_x
_atom_site_fract_y
_atom_site_fract_z
Na1 0.0000 0.5732 0.0000
Li1 0.0000 0.0000 0.5000
Li2 0.0000 0.4322 0.5000
Th1 0.0000 0.0000 0.0000
F1 0.0000 0.5861 0.5000
F2 0.0000 0.8430 0.5000
F3 0.0364 0.1814 0.1543

---

Entry 8:
# Na2LiTiF GGA-PBE optimized geometry
# DOS(E_F)	0.64	states/eV/atom
# total magnetic moment	4.0	μB/f.u.
# calculated total energy	-2.33	eV/atom
# volume	39.31	Å³ per atom
# energy relative to the elements, uncorrected	536	meV per atom
data_Na2LiTiF
_chemical_formula_sum 'Na2 Li1 Ti1 F1'
_space_group_name_H-M_alt 'P 4/m m m'
_space_group_IT_number 123
_space_group_name_Hall '-P 4 2'
_cell_length_a 6.216
_cell_length_b 6.216
_cell_length_c 5.087
_cell_angle_alpha 90.00
_cell_angle_beta 90.00
_cell_angle_gamma 90.00
loop_
_atom_site_label
_atom_site_fract_x
_atom_site_fract_y
_atom_site_fract_z
Na1 0.000 0.500 0.000
Li1 0.000 0.000 0.500
Ti1 0.000 0.000 0.000
F1 0.500 0.500 0.500

---

Entry 9:
# Na3LiTi2F12 GGA-PBE optimized geometry
# DOS(E_F)	0.00	states/eV/atom
# total magnetic moment	0.2	μB/f.u.
# calculated total energy	-5.68	eV/atom
# volume	13.78	Å³ per atom
# energy relative to the elements, uncorrected	-3226	meV per atom
data_Na3LiTi2F12
_chemical_formula_sum 'Na6 Li2 Ti4 F24'
_space_group_name_H-M_alt 'P -4 21 c'
_space_group_IT_number 114
_cell_length_a 5.202
_cell_length_b 5.202
_cell_length_c 18.332
_cell_angle_alpha 90.00
_cell_angle_beta 90.00
_cell_angle_gamma 90.00
loop_
_space_group_symop_operation_xyz
'x,y,z'
'y,-x,-z'
'-x,-y,z'
'-y,x,-z'
'x+1/2,-y+1/2,-z+1/2'
'y+1/2,x+1/2,z+1/2'
'-x+1/2,y+1/2,-z+1/2'
'-y+1/2,-x+1/2,z+1/2'
loop_
_atom_site_label
_atom_site_fract_x
_atom_site_fract_y
_atom_site_fract_z
Na1 0.000 0.000 0.000
Na2 0.000 0.500 0.190
Li1 0.000 0.000 0.500
Ti1 0.000 0.500 0.375
F1 0.150 0.702 0.302
F2 0.152 0.715 0.449
F3 0.208 0.789 0.116

---

Entry 10:
# Na3Li2TiF9 GGA-PBE optimized geometry
# DOS(E_F)	0.00	states/eV/atom
# total magnetic moment	0.0	μB/f.u.
# calculated total energy	-5.17	eV/atom
# volume	12.47	Å³ per atom
# energy relative to the elements, uncorrected	-3000	meV per atom
data_Na3Li2TiF9
_chemical_formula_sum 'Na3 Li2 Ti1 F9'
_space_group_name_H-M_alt 'P -3 m 1'
_space_group_IT_number 164
_space_group_name_Hall '-P 3 2"'
_cell_length_a 5.5312
_cell_length_b 5.5312
_cell_length_c 7.0573
_cell_angle_alpha 90.00
_cell_angle_beta 90.00
_cell_angle_gamma 120.00
loop_
_atom_site_label
_atom_site_fract_x
_atom_site_fract_y
_atom_site_fract_z
Na1 0.0000 0.0000 0.0000
Na2 0.3333 0.6667 0.7684
Li1 0.3333 0.6667 0.1513
Ti1 0.0000 0.0000 0.5000
F1 0.0000 0.5000 0.0000
F2 0.1591 0.3182 0.3422

---

Entry 11:
# NaLiTiF6 GGA-PBE optimized geometry
# DOS(E_F)	0.00	states/eV/atom
# total magnetic moment	0.0	μB/f.u.
# calculated total energy	-5.71	eV/atom
# volume	12.95	Å³ per atom
# energy relative to the elements, uncorrected	-3230	meV per atom
data_NaLiTiF6
_chemical_formula_sum 'Na1 Li1 Ti1 F6'
_space_group_name_H-M_alt 'P 3 1 2'
_space_group_IT_number 149
_cell_length_a 5.2129
_cell_length_b 5.2129
_cell_length_c 4.9531
_cell_angle_alpha 90.00
_cell_angle_beta 90.00
_cell_angle_gamma 120.00
loop_
_space_group_symop_operation_xyz
'x,y,z'
'-y,x-y,z'
'-x+y,-x,z'
'-y,-x,-z'
'-x+y,y,-z'
'x,x-y,-z'
loop_
_atom_site_label
_atom_site_fract_x
_atom_site_fract_y
_atom_site_fract_z
Na1 0.0000 0.0000 0.0000
Li1 0.3333 0.6667 0.5000
Ti1 0.6667 0.3333 0.5000
F1 0.3756 0.0232 0.2858

---

Entry 12:
# Na3Li3Ti2F12 GGA-PBE optimized geometry
# DOS(E_F)	0.69	states/eV/atom
# total magnetic moment	2.0	μB/f.u.
# calculated total energy	-5.47	eV/atom
# volume	12.62	Å³ per atom
# energy relative to the elements, uncorrected	-3071	meV per atom
data_Na3Li3Ti2F12
_chemical_formula_sum 'Na24 Li24 Ti16 F96'
_space_group_name_H-M_alt 'I a -3 d'
_space_group_IT_number 230
_space_group_name_Hall '-I 4bd 2c 3'
_cell_length_a 12.639
_cell_length_b 12.639
_cell_length_c 12.639
_cell_angle_alpha 90.00
_cell_angle_beta 90.00
_cell_angle_gamma 90.00
loop_
_atom_site_label
_atom_site_fract_x
_atom_site_fract_y
_atom_site_fract_z
Na1 0.000 0.250 0.125
Li1 0.000 0.250 0.375
Ti1 0.000 0.000 0.000
F1 0.029 0.049 0.647

---

Q: volume of number 8 (Na2LiTiF)?
A: 39.31 Å³ per atom

---

Q: The highest volume belongs to which entry?
A: Na2LiTiF